# 1
VASP calculation (PBE) on Hg2MoBr2 after structural relaxation.

Computed properties:
- calculated density (g cm⁻³) = 7.28
- ΔE_f (raw) (eV per atom) = 0.458
- space-group type = I4/mmm (139)
- magnetic moment (μB per atom) = 0.876
- calculated volume (A^3/atom) = 29.958
- density of states at the Fermi level (states/eV per cell) = 10.2
- E above lowest polymorph (meV per atom) = 307

Unit cell a=3.920 b=3.920 c=19.499 alpha=90.00 beta=90.00 gamma=90.00
Fractional coordinates of all 10 atoms:
Hg 0.000 0.500 0.250
Hg 0.000 0.500 0.750
Hg 0.500 0.000 0.250
Hg 0.500 0.000 0.750
Mo 0.000 0.000 0.000
Mo 0.500 0.500 0.500
Br 0.000 0.000 0.416
Br 0.000 0.000 0.584
Br 0.500 0.500 0.084
Br 0.500 0.500 0.916

# 2
VASP calculation (PBE) on La4YEr2 after structural relaxation.

Computed properties:
- calculated density (g cm⁻³) = 6.68
- space-group type = Fdd2 (43)
- magnetic moment (μB per atom) = 0.000
- energy relative to the elements (eV per atom) = 0.07
- calculated volume (A^3/atom) = 34.778
- density of states at the Fermi level (states/eV per cell) = 24.1
- E above lowest polymorph (meV per atom) = 0

Unit cell a=12.744 b=6.874 c=13.722 alpha=67.19 beta=29.82 gamma=83.00
Fractional coordinates of all 14 atoms:
La 0.148 0.295 0.065
La 0.185 0.757 0.102
La 0.295 0.148 0.493
La 0.379 0.621 0.477
La 0.621 0.379 0.523
La 0.727 0.773 0.629
La 0.757 0.185 0.955
La 0.773 0.727 0.871
Y 0.002 0.002 0.998
Y 0.252 0.252 0.248
Er 0.208 0.688 0.357
Er 0.504 0.893 0.562
Er 0.688 0.208 0.746
Er 0.893 0.504 0.042

- magnetic moment of number 2 (La4YEr2)?
  0.000 μB per atom

Copy entry 1 word for word.
VASP calculation (PBE) on Hg2MoBr2 after structural relaxation.

Computed properties:
- calculated density (g cm⁻³) = 7.28
- ΔE_f (raw) (eV per atom) = 0.458
- space-group type = I4/mmm (139)
- magnetic moment (μB per atom) = 0.876
- calculated volume (A^3/atom) = 29.958
- density of states at the Fermi level (states/eV per cell) = 10.2
- E above lowest polymorph (meV per atom) = 307

Unit cell a=3.920 b=3.920 c=19.499 alpha=90.00 beta=90.00 gamma=90.00
Fractional coordinates of all 10 atoms:
Hg 0.000 0.500 0.250
Hg 0.000 0.500 0.750
Hg 0.500 0.000 0.250
Hg 0.500 0.000 0.750
Mo 0.000 0.000 0.000
Mo 0.500 0.500 0.500
Br 0.000 0.000 0.416
Br 0.000 0.000 0.584
Br 0.500 0.500 0.084
Br 0.500 0.500 0.916

- Which of these has the highest magnetic moment?
  Hg2MoBr2